Record 1
4
Lattice="0.0000 3.7394 3.7394 3.7394 0.0000 3.7394 3.7394 3.7394 0.0000" Properties=species:S:1:pos:R:3 comment="CaSmZnCd | the Alexandria database | PBE | relaxed" magnetic_moment_mub_per_cell=0.0 dft_energy_ev_per_atom=-2.540 pbc="T T T"
Ca 0.0000 0.0000 0.0000
Sm 3.7394 3.7394 3.7394
Zn 1.8697 1.8697 1.8697
Cd 5.6091 5.6091 5.6091



Record 2
6
Lattice="0.0000 3.7327 3.7327 3.7327 0.0000 3.7327 3.7327 3.7327 0.0000" Properties=species:S:1:pos:R:3 comment="ScSiPt4 | the Alexandria database | PBE | relaxed" magnetic_moment_mub_per_cell=0.0 dft_energy_ev_per_atom=-6.408 pbc="T T T"
Sc 0.0000 0.0000 0.0000
Si 1.8663 1.8663 1.8663
Pt 4.6655 2.7998 2.7998
Pt 2.7998 4.6655 2.7998
Pt 2.7998 2.7998 4.6655
Pt 4.6655 4.6655 4.6655



Record 3
4
Lattice="1.9194 1.1081 6.5543 -1.9194 1.1081 6.5543 0.0000 -2.2163 6.5543" Properties=species:S:1:pos:R:3 comment="Sm2AsN | the Alexandria database | PBE | relaxed" magnetic_moment_mub_per_cell=0.0 dft_energy_ev_per_atom=-6.934 pbc="T T T"
Sm 0.0000 0.0000 4.6680
Sm 0.0000 0.0000 14.9947
As 0.0000 0.0000 0.0000
N 0.0000 0.0000 9.8314



Record 4
7
Lattice="-4.1663 4.1663 4.1663 4.1663 -4.1663 4.1663 4.1663 4.1663 -4.1663" Properties=species:S:1:pos:R:3 comment="Pr6Gd | the Alexandria database | PBE | relaxed" magnetic_moment_mub_per_cell=6.7 dft_energy_ev_per_atom=-4.947 pbc="T T T"
Pr 4.1663 2.0831 0.0000
Pr 4.1663 0.0000 2.0831
Pr 2.0831 4.1663 0.0000
Pr 2.0831 0.0000 4.1663
Pr 0.0000 4.1663 2.0831
Pr 0.0000 2.0831 4.1663
Gd 0.0000 0.0000 0.0000



Record 5
11
Lattice="-2.5967 2.5967 13.4368 2.5967 -2.5967 13.4368 2.5967 2.5967 -13.4368" Properties=species:S:1:pos:R:3 comment="Sr2Ac4Sn3O2 | the Alexandria database | PBE | relaxed" magnetic_moment_mub_per_cell=0.0 dft_energy_ev_per_atom=-5.197 pbc="T T T"
Sr 0.0000 0.0000 5.3792
Sr 0.0000 0.0000 21.4944
Ac 2.5967 0.0000 2.3387
Ac 2.5967 0.0000 11.0981
Ac 0.0000 2.5967 2.3387
Ac 0.0000 2.5967 11.0981
Sn 0.0000 0.0000 8.7940
Sn 0.0000 0.0000 13.4368
Sn 0.0000 0.0000 18.0796
O 0.0000 0.0000 2.6718
O 0.0000 0.0000 24.2018



Record 6
14
Lattice="8.1913 0.0000 0.0000 0.0000 6.6915 0.0000 -2.8627 0.0000 7.6842" Properties=species:S:1:pos:R:3 comment="Pr4NdPd2 | the Alexandria database | PBE | relaxed" magnetic_moment_mub_per_cell=0.0 dft_energy_ev_per_atom=-5.179 pbc="T T T"
Pr 0.1985 1.6729 0.5775
Pr 0.1588 6.6904 6.1322
Pr 0.1588 3.3469 6.1322
Pr 2.1915 1.6729 3.4666
Pr 3.1371 5.0186 4.2176
Pr 5.1698 0.0011 1.5520
Pr 5.1698 3.3446 1.5520
Pr 5.1301 5.0186 7.1067
Nd 0.1472 5.0186 2.7429
Nd 5.1814 1.6729 4.9413
Pd -0.6936 1.6729 3.3256
Pd 2.5657 5.0186 1.0570
Pd 2.7629 1.6729 6.6272
Pd 6.0223 5.0186 4.3586



Record 7
5
Lattice="6.2204 0.0000 0.0000 0.0000 6.2204 0.0000 0.0000 0.0000 6.5298" Properties=species:S:1:pos:R:3 comment="KTePbI2 | the Alexandria database | PBE | relaxed" magnetic_moment_mub_per_cell=1.6 dft_energy_ev_per_atom=-2.187 pbc="T T T"
K 0.0000 0.0000 0.0000
Te 0.0000 0.0000 3.2649
Pb 3.1102 3.1102 0.0000
I 0.0000 3.1102 3.2649
I 3.1102 0.0000 3.2649



Record 8
14
Lattice="8.5497 0.0000 0.0000 0.0000 8.5497 0.0000 0.0000 0.0000 4.4649" Properties=species:S:1:pos:R:3 comment="SrMg4Au2 | the Alexandria database | PBE | relaxed" magnetic_moment_mub_per_cell=0.0 dft_energy_ev_per_atom=-2.612 pbc="T T T"
Sr 0.0000 0.0000 0.0000
Sr 4.2749 4.2749 2.2325
Mg 0.7523 2.9032 2.2325
Mg 1.3716 5.0272 0.0000
Mg 2.9032 0.7523 2.2325
Mg 3.5225 7.1781 0.0000
Mg 5.0272 1.3716 0.0000
Mg 5.6465 7.7974 2.2325
Mg 7.1781 3.5225 0.0000
Mg 7.7974 5.6465 2.2325
Au 1.8618 6.6879 2.2325
Au 2.4130 2.4130 0.0000
Au 6.1367 6.1367 0.0000
Au 6.6879 1.8618 2.2325



Record 9
7
Lattice="-3.1817 3.1817 10.6580 3.1817 -3.1817 10.6580 3.1817 3.1817 -10.6580" Properties=species:S:1:pos:R:3 comment="Ba4Sr2Au | the Alexandria database | PBE | relaxed" magnetic_moment_mub_per_cell=0.0 dft_energy_ev_per_atom=-2.136 pbc="T T T"
Ba 3.1817 0.0000 0.0000
Ba 0.0000 0.0000 3.3298
Ba 0.0000 3.1817 0.0000
Ba 0.0000 0.0000 17.9862
Sr 0.0000 0.0000 7.5780
Sr 0.0000 0.0000 13.7380
Au 0.0000 0.0000 0.0000



Record 10
3
Lattice="5.4336 0.0000 0.0000 0.0000 2.0450 3.5754 0.0000 -2.0450 3.5754" Properties=species:S:1:pos:R:3 comment="RbNiPt | the Alexandria database | PBE | relaxed" magnetic_moment_mub_per_cell=0.8 dft_energy_ev_per_atom=-3.995 pbc="T T T"
Rb 0.0000 0.0000 0.0000
Ni 2.7168 0.0000 4.7562
Pt 2.7168 0.0000 2.3865



Record 11
6
Lattice="0.0000 3.3819 3.3819 3.3819 0.0000 3.3819 3.3819 3.3819 0.0000" Properties=species:S:1:pos:R:3 comment="AlNi4Se | the Alexandria database | PBE | relaxed" magnetic_moment_mub_per_cell=1.1 dft_energy_ev_per_atom=-4.987 pbc="T T T"
Al 0.0000 0.0000 0.0000
Ni 4.2301 2.5337 2.5337
Ni 2.5337 4.2301 2.5337
Ni 2.5337 2.5337 4.2301
Ni 4.2301 4.2301 4.2301
Se 1.6909 1.6909 1.6909



Record 12
5
Lattice="4.4251 0.0000 0.0000 0.0000 4.4251 0.0000 0.0000 0.0000 5.3868" Properties=species:S:1:pos:R:3 comment="CsUSO2 | the Alexandria database | PBE | relaxed" magnetic_moment_mub_per_cell=1.0 dft_energy_ev_per_atom=-7.467 pbc="T T T"
Cs 0.0000 0.0000 0.0000
U 2.2125 2.2125 2.6825
S 2.2125 2.2125 5.3730
O 0.0000 2.2125 2.6803
O 2.2125 0.0000 2.6803



Record 13
12
Lattice="3.0234 -5.2575 0.0000 3.0234 5.2575 0.0000 -1.9902 0.0000 6.1761" Properties=species:S:1:pos:R:3 comment="K3LiBi2O6 | the Alexandria database | PBE | relaxed" magnetic_moment_mub_per_cell=0.0 dft_energy_ev_per_atom=-4.888 pbc="T T T"
K 0.0000 0.0000 0.0000
K 3.0234 1.6537 0.0000
K 3.0234 -1.6537 0.0000
Li 2.0283 0.0000 3.0881
Bi 2.0283 3.4996 3.0881
Bi 2.0283 -3.4996 3.0881
O 0.9527 1.8689 1.8846
O -0.0907 0.0000 4.2511
O 0.9527 -1.8689 1.8846
O 3.1039 1.8689 4.2915
O 4.1473 0.0000 1.9250
O 3.1039 -1.8689 4.2915



Record 14
4
Lattice="2.5057 1.4467 7.7712 -2.5057 1.4467 7.7712 0.0000 -2.8933 7.7712" Properties=species:S:1:pos:R:3 comment="K2TlSe | the Alexandria database | PBE | relaxed" magnetic_moment_mub_per_cell=0.0 dft_energy_ev_per_atom=-2.469 pbc="T T T"
K 0.0000 0.0000 5.2286
K 0.0000 0.0000 18.0849
Tl 0.0000 0.0000 0.0000
Se 0.0000 0.0000 11.6568



Record 15
5
Lattice="5.3307 0.0000 0.0000 0.0000 5.3307 0.0000 0.0000 0.0000 3.5075" Properties=species:S:1:pos:R:3 comment="ZnTe2RuN | the Alexandria database | PBE | relaxed" magnetic_moment_mub_per_cell=0.1 dft_energy_ev_per_atom=-3.833 pbc="T T T"
Zn 0.0000 0.0000 0.0000
Te 0.0000 2.6653 0.0000
Te 2.6653 0.0000 0.0000
Ru 2.6653 2.6653 1.7538
N 0.0000 0.0000 1.7538



Record 16
4
Lattice="0.0000 3.8356 3.8356 3.8356 0.0000 3.8356 3.8356 3.8356 0.0000" Properties=species:S:1:pos:R:3 comment="KSrFe2 | the Alexandria database | PBE | relaxed" magnetic_moment_mub_per_cell=5.6 dft_energy_ev_per_atom=-3.715 pbc="T T T"
K 0.0000 0.0000 0.0000
Sr 3.8356 3.8356 3.8356
Fe 1.9178 1.9178 1.9178
Fe 5.7533 5.7533 5.7533



Record 17
9
Lattice="0.0000 6.5635 7.5278 2.5512 0.0000 7.5278 2.5512 6.5635 0.0000" Properties=species:S:1:pos:R:3 comment="Pm6Ru2Au | the Alexandria database | PBE | relaxed" magnetic_moment_mub_per_cell=0.0 dft_energy_ev_per_atom=-5.836 pbc="T T T"
Pm 2.5512 4.8892 2.6142
Pm 2.5512 8.2378 2.6142
Pm 2.5512 4.8382 7.5278
Pm 2.5512 8.2887 7.5278
Pm 2.5512 4.8892 12.4414
Pm 2.5512 8.2378 12.4414
Ru 2.5512 6.5635 5.0732
Ru 2.5512 6.5635 9.9824
Au 0.0000 0.0000 0.0000



Record 18
4
Lattice="2.1868 -2.4782 0.0000 2.1868 2.4782 0.0000 0.0000 0.0000 9.8597" Properties=species:S:1:pos:R:3 comment="Cd2SbPb | the Alexandria database | PBE | relaxed" magnetic_moment_mub_per_cell=0.0 dft_energy_ev_per_atom=-2.326 pbc="T T T"
Cd 0.0000 0.0000 0.0000
Cd 2.1868 0.0000 2.1859
Sb 0.0000 0.0000 4.5753
Pb 2.1868 0.0000 7.3360



Record 19
4
Lattice="4.9062 0.0000 0.0000 0.0000 4.9062 0.0000 0.0000 0.0000 4.4370" Properties=species:S:1:pos:R:3 comment="AcTcSb2 | the Alexandria database | PBE | relaxed" magnetic_moment_mub_per_cell=2.6 dft_energy_ev_per_atom=-5.548 pbc="T T T"
Ac 0.0000 0.0000 0.0000
Tc 2.4531 2.4531 0.0000
Sb 0.0000 2.4531 2.2185
Sb 2.4531 0.0000 2.2185



Record 20
4
Lattice="1.7126 0.9888 12.4534 -1.7126 0.9888 12.4534 0.0000 -1.9776 12.4534" Properties=species:S:1:pos:R:3 comment="Na2DyTl | the Alexandria database | PBE | relaxed" magnetic_moment_mub_per_cell=0.0 dft_energy_ev_per_atom=-2.245 pbc="T T T"
Na 0.0000 0.0000 3.3988
Na 0.0000 0.0000 33.9613
Dy 0.0000 0.0000 0.0000
Tl 0.0000 0.0000 18.6800